No. 1
{
  "formula": "Be2NbOsS",
  "functional": "PBEsol",
  "state": "relaxed",
  "formation_energy_uncorrected_ev_per_atom": 1.691,
  "m_tot_mub_per_fu": 0.0,
  "dos_ef_per_ev_cell": 2.93,
  "lattice_angstrom": [[-3.8452, -0.4077, -1.6325], [1.4620, -2.8254, -2.7380], [-0.8857, -3.2717, 2.9033]],
  "species": ["S", "Nb", "Be", "Os", "Be"],
  "fractional_positions": [[0.0000, 0.0000, 0.5000], [0.0000, 0.0000, 0.0000], [0.0000, 0.5000, 0.0000], [0.5000, 0.5000, 0.5000], [0.5000, 0.0000, 0.0000]]
}

=====

No. 2
{
  "formula": "BeNb3P",
  "functional": "PBEsol",
  "state": "relaxed",
  "e_form_ev_per_atom": 0.576,
  "m_tot_mub_per_fu": 0.0,
  "dos_ef_per_ev_cell": 7.16,
  "lattice_angstrom": [[-4.4231, -0.7014, -0.8335], [-0.2951, -2.5836, 3.7401], [-1.0487, 3.6856, 2.4632]],
  "species": ["Nb", "P", "Be", "Nb", "Nb"],
  "fractional_positions": [[0.0000, 0.5000, 0.0000], [0.0000, 0.0000, 0.0000], [0.5000, 0.5000, 0.5000], [0.5000, 0.0000, 0.0000], [0.0000, 0.0000, 0.5000]]
}

=====

No. 3
{
  "formula": "Be2Nb2Pd",
  "functional": "PBEsol",
  "state": "relaxed",
  "e_form_ev_per_atom": -0.277,
  "m_tot_mub_per_fu": 0.0,
  "dos_ef_per_ev_cell": 6.88,
  "lattice_angstrom": [[3.6381, 0.0000, 0.0000], [0.0000, 6.0202, 0.0000], [0.0000, 0.0000, 6.0202]],
  "species": ["Be", "Nb", "Be", "Be", "Pd", "Pd", "Be", "Nb", "Nb", "Nb"],
  "fractional_positions": [[0.0000, 0.1278, 0.3722], [0.5000, 0.6698, 0.8302], [0.0000, 0.6278, 0.1278], [0.0000, 0.8722, 0.6278], [0.0000, 0.0000, 0.0000], [0.0000, 0.5000, 0.5000], [0.0000, 0.3722, 0.8722], [0.5000, 0.3302, 0.1698], [0.5000, 0.1698, 0.6698], [0.5000, 0.8302, 0.3302]]
}

=====

No. 4
{
  "formula": "Be3NbPd",
  "functional": "PBEsol",
  "state": "relaxed",
  "e_form_ev_per_atom": 1.607,
  "m_tot_mub_per_fu": 0.0,
  "dos_ef_per_ev_cell": 3.57,
  "lattice_angstrom": [[4.2600, 0.0000, 0.0000], [0.0000, 4.2600, 0.0000], [0.0000, 0.0000, 4.2600]],
  "species": ["Pd", "Be", "Be", "Be", "Nb"],
  "fractional_positions": [[0.5000, 0.5000, 0.5000], [0.0000, 0.5000, 0.0000], [0.0000, 0.0000, 0.5000], [0.5000, 0.0000, 0.0000], [0.0000, 0.0000, 0.0000]]
}

=====

Question: What is the formula in the third record?
Answer: Be2Nb2Pd